(1)
The following is a PBE-GGA calculation of a relaxed structure of SrMoNCl2, from the Alexandria database.

For the density of states at the Fermi level, the calculation gives 3.1 states/eV/f.u. As for the uncorrected formation energy: -0.731 eV/atom. Its total DFT energy (no corrections) is -28.2 eV for the cell shown.

Lattice parameters (Å, degrees): 5.0771 3.9016 5.0771 90.00 90.00 90.00
Closest atoms and distances in Å follow each position.
Element x y z (fractional)
N: 0.0000 0.5000 0.0000  2 Mo 1.95
Cl: 0.5000 0.0000 0.0000  2 Mo 2.54
Mo: 0.0000 0.0000 0.0000  2 N 1.95
Cl: 0.0000 0.0000 0.5000  2 Mo 2.54
Sr: 0.5000 0.5000 0.5000  8 Cl 3.20

---

(2)
The following is a PBE-GGA calculation of a relaxed structure of Sr5MoN4Cl2, from the Alexandria database.

For the density of states at the Fermi level, the calculation gives 3.0 states/eV/f.u. As for the uncorrected formation energy: -1.044 eV/atom. Its total DFT energy (no corrections) is -68.8 eV for the cell shown.

Lattice parameters (Å, degrees): 6.4821 5.9720 8.0709 90.00 90.00 122.87
Closest atoms and distances in Å follow each position.
Element x y z (fractional)
Sr: 0.0692 0.3510 0.2024  3 N 2.57-2.72
Sr: 0.7182 0.6490 0.2024  3 N 2.57-2.72
Sr: 0.7182 0.6490 0.7976  3 N 2.57-2.72
Sr: 0.4824 0.0000 0.5000  2 N 2.60
Cl: 0.9490 0.5522 0.5000  6 Sr 2.97-3.05, 2 Cl 3.28
Sr: 0.0692 0.3510 0.7976  3 N 2.57-2.72
N: 0.5759 0.0000 0.8127  1 Mo 1.91
N: 0.5759 0.0000 0.1873  1 Mo 1.91
Mo: 0.3962 0.0000 0.0000  4 N 1.91-1.93
N: 0.0689 0.6832 0.0000  1 Mo 1.93
N: 0.3856 0.3168 0.0000  1 Mo 1.93
Cl: 0.3968 0.4478 0.5000  6 Sr 2.97-3.05, 2 Cl 3.28

---

(3)
The following is a PBE-GGA calculation of a relaxed structure of TaMoNCl2, from the Alexandria database.

For the density of states at the Fermi level, the calculation gives 6.4 states/eV/f.u. As for the uncorrected formation energy: 1.365 eV/atom. Its total DFT energy (no corrections) is -27.9 eV for the cell shown.

Lattice parameters (Å, degrees): 4.9398 3.7357 4.9398 90.00 90.00 90.00
Closest atoms and distances in Å follow each position.
Element x y z (fractional)
N: 0.0000 0.0000 0.0000  2 Mo 1.87
Ta: 0.5000 0.5000 0.5000  8 Cl 3.10
Cl: 0.0000 0.0000 0.5000  2 N 2.47
Mo: 0.0000 0.5000 0.0000  2 N 1.87
Cl: 0.5000 0.0000 0.0000  2 N 2.47